{"formula": "BeGeMo", "functional": "PBE-GGA", "state": "optimized geometry", "polymorph_energy_mev_per_atom": 0, "formation_enthalpy_0k_ev_per_fu": 0.3, "lattice": [[4.8273, 0.0000, 0.0000], [-1.7950, 6.0961, 0.0000], [-0.1937, -3.1625, 5.6211]], "species": ["Be", "Be", "Be", "Be", "Ge", "Ge", "Ge", "Ge", "Mo", "Mo", "Mo", "Mo"], "fractional_positions": [[0.0000, 0.0000, 0.0000], [0.1159, 0.0785, 0.3636], [0.4616, 0.9572, 0.4710], [0.8134, 0.1985, 0.8687], [0.3050, 0.2202, 0.8324], [0.4652, 0.7730, 0.7455], [0.6836, 0.7264, 0.1583], [0.8571, 0.3808, 0.6008], [0.1559, 0.6645, 0.0286], [0.2348, 0.4537, 0.2946], [0.5645, 0.1609, 0.1901], [0.9133, 0.7682, 0.5366]]}